No. 1
K2BaHgCl6 | PBE | relaxed

Cell lengths 7.941, 7.941, 7.941 Å; angles 58.06, 58.06, 58.06 degrees
Positions (direct):
K 0.000 0.000 0.000
K 0.498 0.498 0.498
Ba 0.215 0.215 0.215
Hg 0.712 0.712 0.712
Cl 0.052 0.453 0.837
Cl 0.361 0.914 0.591
Cl 0.453 0.837 0.052
Cl 0.591 0.361 0.914
Cl 0.837 0.052 0.453
Cl 0.914 0.591 0.361

No. 2
YZrS3 | PBE | relaxed

Cell lengths 4.907, 4.907, 4.907 Å; angles 90.00, 90.00, 90.00 degrees
Positions (direct):
Y 0.000 0.000 0.000
Zr 0.500 0.500 0.500
S 0.000 0.500 0.500
S 0.500 0.000 0.500
S 0.500 0.500 0.000

Formation energy from raw total energies: -1.68 -1.18 (eV/atom)